Compound: Pu2NpZn
Source: Alexandria via LeMat-Bulk
Functional: PBE-GGA
Structure: relaxed

a b c (Å): 2.8918 2.8918 9.8851
angles (deg): 90.00 90.00 90.00
Positions (direct):
1 Zn 0.5000 0.5000 0.5000
2 Np 0.5000 0.5000 0.0000
3 Pu 0.0000 0.0000 0.7415
4 Pu 0.0000 0.0000 0.2585

Summary:
Space-group type   P4/mmm, No. 123
Mass density   15.9 g cm⁻³
Offset from the most stable computed form   0 meV/atom